1.
# KBaSBr, optimized geometry, DFT GGA-PBE
# **DOS at the Fermi energy**: 0.0 states/eV per cell
# **M_tot**: 0.00 μB per formula unit
# **Energy above the lowest structure with this stoichiometry**: 0.418 eV/f.u.
# **Electronic total energy**: -3.896 eV per atom
data_KBaSBr
_symmetry_space_group_name_H-M 'F -4 3 m'
_symmetry_Int_Tables_number 216
_symmetry_space_group_name_Hall 'F -4 2 3'
_cell_length_a 7.832
_cell_length_b 7.832
_cell_length_c 7.832
_cell_angle_alpha 90.00
_cell_angle_beta 90.00
_cell_angle_gamma 90.00
loop_
_atom_site_label
_atom_site_type_symbol
_atom_site_fract_x
_atom_site_fract_y
_atom_site_fract_z
K1 K 0.000 0.000 0.000
Ba1 Ba 0.000 0.000 0.500
S1 S 0.250 0.250 0.250
Br1 Br 0.250 0.250 0.750



2.
# V2Ir9Pt, optimized geometry, DFT GGA-PBE
# **DOS at the Fermi energy**: 12.8 states/eV per cell
# **M_tot**: 0.00 μB per formula unit
# **Electronic total energy**: -8.973 eV per atom
# **Formation enthalpy at 0 K**: -0.304 eV/atom
data_V2Ir9Pt
_symmetry_space_group_name_H-M 'P 4/m m m'
_symmetry_Int_Tables_number 123
_symmetry_space_group_name_Hall '-P 4 2'
_cell_length_a 3.858
_cell_length_b 3.858
_cell_length_c 11.582
_cell_angle_alpha 90.00
_cell_angle_beta 90.00
_cell_angle_gamma 90.00
loop_
_atom_site_label
_atom_site_type_symbol
_atom_site_fract_x
_atom_site_fract_y
_atom_site_fract_z
V1 V 0.000 0.000 0.168
Ir1 Ir 0.000 0.500 0.000
Ir2 Ir 0.000 0.500 0.326
Ir3 Ir 0.500 0.500 0.164
Ir4 Ir 0.500 0.500 0.500
Pt1 Pt 0.000 0.000 0.500



What did the first record say?
# KBaSBr, optimized geometry, DFT GGA-PBE
# **DOS at the Fermi energy**: 0.0 states/eV per cell
# **M_tot**: 0.00 μB per formula unit
# **Energy above the lowest structure with this stoichiometry**: 0.418 eV/f.u.
# **Electronic total energy**: -3.896 eV per atom
data_KBaSBr
_symmetry_space_group_name_H-M 'F -4 3 m'
_symmetry_Int_Tables_number 216
_symmetry_space_group_name_Hall 'F -4 2 3'
_cell_length_a 7.832
_cell_length_b 7.832
_cell_length_c 7.832
_cell_angle_alpha 90.00
_cell_angle_beta 90.00
_cell_angle_gamma 90.00
loop_
_atom_site_label
_atom_site_type_symbol
_atom_site_fract_x
_atom_site_fract_y
_atom_site_fract_z
K1 K 0.000 0.000 0.000
Ba1 Ba 0.000 0.000 0.500
S1 S 0.250 0.250 0.250
Br1 Br 0.250 0.250 0.750



Q: What is the formula in the first record?
A: KBaSBr



Q: Which value of electronic total energy does entry 2 give?
A: -8.973 eV per atom



Q: Look up the electronic total energy of the first one.
A: -3.896 eV per atom